1.
A plane-wave DFT calculation with PBE-GGA was carried out for an optimized crystal structure of Ta2RuRh.

Lattice parameters (Å, degrees): 9.4709 2.9098 4.7778 90.00 99.84 90.00
Space group Cm (No. 8)
Symmetry-distinct sites (fractional):
Ta (0.0000, 0.0000, 0.0000) x2
Ta (0.2269, 0.0000, 0.6634) x2
Ru (0.4834, 0.0000, 0.4936) x2
Rh (0.2482, 0.5000, 0.1786) x2

## Properties
**Total DFT energy (no corrections)**: -0.381 hartree per atom
**Calculated volume**: 16.22 Å³ per atom
**Formation enthalpy at 0 K**: -278 meV per atom

=====

2.
A plane-wave DFT calculation with PBE-GGA was carried out for an optimized crystal structure of Ta4Ru4Rh5.

Lattice parameters (Å, degrees): 10.0316 10.0316 3.9284 90.00 90.00 90.00
Space group I4/m (No. 87)
Symmetry-distinct sites (fractional):
Ta (0.1353, 0.2296, 0.0000) x8
Ru (0.0805, 0.6074, 0.0000) x8
Rh (0.0000, 0.0000, 0.0000) x2
Rh (0.0462, 0.8094, 0.5000) x8

## Properties
**Total DFT energy (no corrections)**: -0.357 hartree per atom
**Calculated volume**: 15.20 Å³ per atom
**Formation enthalpy at 0 K**: -399 meV per atom

=====

3.
A plane-wave DFT calculation with PBE-GGA was carried out for an optimized crystal structure of TaRuRh.

Lattice parameters (Å, degrees): 5.9896 5.9896 5.9896 90.00 90.00 90.00
Space group F-43m (No. 216)
Symmetry-distinct sites (fractional):
Ta (0.0000, 0.0000, 0.0000) x4
Ru (0.2500, 0.2500, 0.2500) x4
Rh (0.2500, 0.2500, 0.7500) x4

## Properties
**Total DFT energy (no corrections)**: -0.347 hartree per atom
**Calculated volume**: 17.91 Å³ per atom
**Formation enthalpy at 0 K**: 56 meV per atom

=====

4.
A plane-wave DFT calculation with PBE-GGA was carried out for an optimized crystal structure of Ta2RuRh.

Lattice parameters (Å, degrees): 2.9896 2.9896 26.0566 90.00 90.00 120.00
Space group R3m (No. 160, hexagonal axes)
Symmetry-distinct sites (fractional):
Ta (0.0000, 0.0000, 0.0000) x3
Ta (0.0000, 0.0000, 0.2433) x3
Ru (0.0000, 0.0000, 0.7425) x3
Rh (0.0000, 0.0000, 0.4996) x3

## Properties
**Total DFT energy (no corrections)**: -0.371 hartree per atom
**Calculated volume**: 16.81 Å³ per atom
**Formation enthalpy at 0 K**: -7 meV per atom

=====

5.
A plane-wave DFT calculation with PBE-GGA was carried out for an optimized crystal structure of Ta2RuRh.

Lattice parameters (Å, degrees): 4.1746 4.1746 7.3636 90.00 90.00 90.00
Space group I4/mmm (No. 139)
Symmetry-distinct sites (fractional):
Ta (0.0000, 0.5000, 0.2500) x4
Ru (0.0000, 0.0000, 0.0000) x2
Rh (0.0000, 0.0000, 0.5000) x2

## Properties
**Total DFT energy (no corrections)**: -0.384 hartree per atom
**Calculated volume**: 16.04 Å³ per atom
**Formation enthalpy at 0 K**: -372 meV per atom

=====

6.
A plane-wave DFT calculation with PBE-GGA was carried out for an optimized crystal structure of Ta3Ru3Rh.

Lattice parameters (Å, degrees): 8.7215 9.1100 5.8152 90.00 90.06 90.00
Space group C2/m (No. 12)
Symmetry-distinct sites (fractional):
Ta (0.0000, 0.1698, 0.0000) x4
Ta (0.0000, 0.2782, 0.5000) x4
Ta (0.1995, 0.0000, 0.4994) x4
Ru (0.0004, 0.5000, 0.2304) x4
Ru (0.2500, 0.2503, 0.2457) x8
Rh (0.2325, 0.0000, 0.0004) x4

## Properties
**Total DFT energy (no corrections)**: -0.376 hartree per atom
**Calculated volume**: 16.50 Å³ per atom
**Formation enthalpy at 0 K**: -131 meV per atom

=====

7.
A plane-wave DFT calculation with PBE-GGA was carried out for an optimized crystal structure of TaRuRh.

Lattice parameters (Å, degrees): 2.8219 3.8336 8.5441 90.00 90.00 90.00
Space group Imm2 (No. 44)
Symmetry-distinct sites (fractional):
Ta (0.0000, 0.0000, 0.0000) x2
Ru (0.0000, 0.0000, 0.6629) x2
Rh (0.0000, 0.0000, 0.3284) x2

## Properties
**Total DFT energy (no corrections)**: -0.356 hartree per atom
**Calculated volume**: 15.40 Å³ per atom
**Formation enthalpy at 0 K**: -201 meV per atom

=====

8.
A plane-wave DFT calculation with PBE-GGA was carried out for an optimized crystal structure of ZrTaRuRh.

Lattice parameters (Å, degrees): 6.4727 6.4727 6.4727 90.00 90.00 90.00
Space group F-43m (No. 216)
Symmetry-distinct sites (fractional):
Zr (0.0000, 0.0000, 0.0000) x4
Ta (0.0000, 0.0000, 0.5000) x4
Ru (0.2500, 0.2500, 0.2500) x4
Rh (0.2500, 0.2500, 0.7500) x4

## Properties
**Total DFT energy (no corrections)**: -0.357 hartree per atom
**Calculated volume**: 16.95 Å³ per atom
**Formation enthalpy at 0 K**: -463 meV per atom

=====

9.
A plane-wave DFT calculation with PBE-GGA was carried out for an optimized crystal structure of ZrTaRuRh2.

Lattice parameters (Å, degrees): 4.6359 4.6359 5.0325 90.00 90.00 90.00
Space group P4/mmm (No. 123)
Symmetry-distinct sites (fractional):
Zr (0.0000, 0.0000, 0.0000) x1
Ta (0.0000, 0.0000, 0.5000) x1
Ru (0.5000, 0.5000, 0.5000) x1
Rh (0.0000, 0.5000, 0.0000) x2

## Properties
**Total DFT energy (no corrections)**: -0.266 hartree per atom
**Calculated volume**: 21.63 Å³ per atom
**Formation enthalpy at 0 K**: 1635 meV per atom

=====

10.
A plane-wave DFT calculation with PBE-GGA was carried out for an optimized crystal structure of Tb6Ru5Rh.

Lattice parameters (Å, degrees): 4.8416 6.8396 14.4529 90.00 90.00 90.00
Space group Immm (No. 71)
Symmetry-distinct sites (fractional):
Tb (0.0000, 0.2479, 0.0000) x4
Tb (0.0000, 0.2510, 0.3324) x8
Ru (0.0000, 0.0000, 0.1658) x4
Ru (0.0000, 0.5000, 0.1663) x4
Ru (0.0000, 0.5000, 0.5000) x2
Rh (0.0000, 0.0000, 0.5000) x2

## Properties
**Total DFT energy (no corrections)**: -0.264 hartree per atom
**Calculated volume**: 19.94 Å³ per atom
**Formation enthalpy at 0 K**: -392 meV per atom

=====

11.
A plane-wave DFT calculation with PBE-GGA was carried out for an optimized crystal structure of Tb4RuRh.

Lattice parameters (Å, degrees): 8.9549 13.0483 6.3290 90.00 124.62 90.00
Space group C2/c (No. 15)
Symmetry-distinct sites (fractional):
Tb (0.1312, 0.1758, 0.1012) x8
Tb (0.1967, 0.4352, 0.2661) x8
Ru (0.0000, 0.0015, 0.7500) x4
Rh (0.0000, 0.3642, 0.7500) x4

## Properties
**Total DFT energy (no corrections)**: -0.234 hartree per atom
**Calculated volume**: 25.36 Å³ per atom
**Formation enthalpy at 0 K**: -496 meV per atom

=====

12.
A plane-wave DFT calculation with PBE-GGA was carried out for an optimized crystal structure of Tb8RuRh2.

Lattice parameters (Å, degrees): 17.2801 4.9835 6.7959 90.00 106.37 90.00
Space group C2/m (No. 12)
Symmetry-distinct sites (fractional):
Tb (0.0324, 0.0000, 0.2918) x4
Tb (0.0925, 0.5000, 0.9446) x4
Tb (0.1670, 0.5000, 0.4670) x4
Tb (0.2016, 0.0000, 0.8146) x4
Ru (0.0000, 0.5000, 0.5000) x2
Rh (0.1900, 0.0000, 0.2082) x4

## Properties
**Total DFT energy (no corrections)**: -0.219 hartree per atom
**Calculated volume**: 25.52 Å³ per atom
**Formation enthalpy at 0 K**: -408 meV per atom